(1)
# GaMoRh2

An optimized crystal structure of GaMoRh2 (PBE-GGA, the Alexandria database).

abc: 2.8393 2.8393 7.1471
angles: 90.00 90.00 90.00
Closest atoms and distances in Å follow each position.
Space group P4/mmm (No. 123)
Symmetry-distinct sites (fractional):
1 Ga 0.0000 0.0000 0.0000 [1 per cell]  8 Rh 2.62, 4 Ga 2.84
2 Mo 0.0000 0.0000 0.5000 [1 per cell]  8 Rh 2.75, 4 Mo 2.84
3 Rh 0.5000 0.5000 0.2366 [2 per cell]  4 Ga 2.62, 4 Mo 2.75, 4 Rh 2.84

Properties
Crystal system ... tetragonal
V ... 57.62 Å³ per cell
Energy relative to the elements ... -0.4269 eV per atom
N(E_F) ... 0.789 states/eV per atom
VASP energy ... -30.27 eV/cell
Magnetic moment ... 0.00 μB/cell



(2)
# K5NaI6

An optimized crystal structure of K5NaI6 (PBE-GGA, the Alexandria database).

abc: 8.6455 14.9941 8.6407
angles: 90.00 109.58 90.00
Closest atoms and distances in Å follow each position.
Space group C2/m (No. 12)
Symmetry-distinct sites (fractional):
1 K 0.0000 0.0000 0.0000 [2 per cell]  6 I 3.52-3.69
2 K 0.0000 0.1663 0.5000 [4 per cell]  6 I 3.54-3.55
3 K 0.0000 0.3306 0.0000 [4 per cell]  6 I 3.52-3.64
4 Na 0.0000 0.5000 0.5000 [2 per cell]  6 I 3.38-3.39
5 I 0.2374 0.5000 0.2593 [4 per cell]  1 Na 3.38, 5 K 3.54-3.69
6 I 0.2402 0.3403 0.7418 [8 per cell]  1 Na 3.39, 5 K 3.52-3.64

Properties
Crystal system ... monoclinic
V ... 1055.32 Å³ per cell
N(E_F) ... 0.000 states/eV per atom
VASP energy ... -66.74 eV/cell
Uncorrected formation energy ... -1438.7 meV/atom
Magnetic moment ... 0.00 μB/cell



(3)
# ZrNbBi

An optimized crystal structure of ZrNbBi (PBE-GGA, the Alexandria database).

abc: 5.5278 9.2255 10.3857
angles: 90.00 90.00 90.00
Closest atoms and distances in Å follow each position.
Space group F222 (No. 22)
Symmetry-distinct sites (fractional):
1 Zr 0.0000 0.1620 0.0000 [8 per cell]  3 Zr 2.99-3.21, 2 Nb 3.01, 5 Bi 3.05-3.14
2 Nb 0.2500 0.0953 0.2500 [8 per cell]  1 Nb 2.85, 2 Zr 3.01, 5 Bi 3.07-3.19
3 Bi 0.0000 0.0000 0.5000 [4 per cell]  4 Nb 3.07, 6 Zr 3.12-3.14
4 Bi 0.2500 0.2500 0.7500 [4 per cell]  4 Zr 3.05, 6 Nb 3.11-3.19

Properties
Crystal system ... orthorhombic
V ... 529.64 Å³ per cell
Energy relative to the elements ... -0.0578 eV per atom
N(E_F) ... 0.864 states/eV per atom
VASP energy ... -181.38 eV/cell
Magnetic moment ... 0.00 μB/cell



Q: The highest N(E_F) belongs to which entry?
A: ZrNbBi



Q: What is the V in the first record?
A: 57.62 Å³ per cell